(1)
Density functional theory data (PBE) for a relaxed structure of Ac3CdPb3.

* D(E_F): 12.33 states/eV per cell
* ΔE to the lowest computed polymorph: 0.1878 eV per atom
* ΔH_f (0 K): -0.2975 eV/atom
* calculated total energy: -3.778 eV/atom

Geometry as CIF:
```
data_Ac3CdPb3
_space_group_name_H-M_alt 'P 63/m'
_space_group_IT_number 176
_space_group_name_Hall '-P 6c'
_cell_length_a 9.9656
_cell_length_b 9.9656
_cell_length_c 6.8345
_cell_angle_alpha 90.00
_cell_angle_beta 90.00
_cell_angle_gamma 120.00
loop_
_atom_site_label
_atom_site_type_symbol
_atom_site_fract_x
_atom_site_fract_y
_atom_site_fract_z
Ac1 Ac 0.0540 0.3683 0.2500
Cd1 Cd 0.3333 0.6667 0.7500
Pb1 Pb 0.0506 0.3522 0.7500
```

***

(2)
Density functional theory data (PBE) for a relaxed structure of AcCd4Pb.

* D(E_F): 10.70 states/eV per cell
* ΔE to the lowest computed polymorph: 0.0000 eV per atom
* ΔH_f (0 K): -0.2129 eV/atom
* calculated total energy: -2.126 eV/atom

Geometry as CIF:
```
data_AcCd4Pb
_space_group_name_H-M_alt 'C m c m'
_space_group_IT_number 63
_space_group_name_Hall '-C 2c 2'
_cell_length_a 6.9725
_cell_length_b 18.3894
_cell_length_c 5.2014
_cell_angle_alpha 90.00
_cell_angle_beta 90.00
_cell_angle_gamma 90.00
loop_
_atom_site_label
_atom_site_type_symbol
_atom_site_fract_x
_atom_site_fract_y
_atom_site_fract_z
Ac1 Ac 0.0000 0.1185 0.2500
Cd1 Cd 0.2336 0.4575 0.2500
Cd2 Cd 0.2500 0.2082 0.7500
Pb1 Pb 0.0000 0.3709 0.7500
```

***

(3)
Density functional theory data (PBE) for a relaxed structure of Ac2Cd8Pb.

* D(E_F): 6.44 states/eV per cell
* ΔH_f (0 K): -0.1910 eV/atom
* calculated total energy: -1.941 eV/atom

Geometry as CIF:
```
data_Ac2Cd8Pb
_space_group_name_H-M_alt 'P -1'
_space_group_IT_number 2
_space_group_name_Hall '-P 1'
_cell_length_a 6.0224
_cell_length_b 6.2187
_cell_length_c 9.3677
_cell_angle_alpha 77.73
_cell_angle_beta 71.74
_cell_angle_gamma 67.49
loop_
_atom_site_label
_atom_site_type_symbol
_atom_site_fract_x
_atom_site_fract_y
_atom_site_fract_z
Ac1 Ac 0.1777 0.2049 0.1824
Cd1 Cd 0.2159 0.1416 0.7686
Cd2 Cd 0.2573 0.7316 0.0036
Cd3 Cd 0.3439 0.8427 0.5162
Cd4 Cd 0.4977 0.4358 0.7480
Pb1 Pb 0.0000 0.5000 0.5000
```

***

(4)
Density functional theory data (PBE) for a relaxed structure of Ac6Cd5Pb.

* D(E_F): 31.01 states/eV per cell
* ΔH_f (0 K): -0.3281 eV/atom
* calculated total energy: -3.073 eV/atom

Geometry as CIF:
```
data_Ac6Cd5Pb
_space_group_name_H-M_alt 'C 1 2/m 1'
_space_group_IT_number 12
_space_group_name_Hall '-C 2y'
_cell_length_a 9.9936
_cell_length_b 17.4171
_cell_length_c 5.8032
_cell_angle_alpha 90.00
_cell_angle_beta 125.42
_cell_angle_gamma 90.00
loop_
_atom_site_label
_atom_site_type_symbol
_atom_site_fract_x
_atom_site_fract_y
_atom_site_fract_z
Ac1 Ac 0.2497 0.0000 0.2494
Ac2 Ac 0.2499 0.1672 0.7496
Cd1 Cd 0.0000 0.1709 0.0000
Cd2 Cd 0.0000 0.3332 0.5000
Cd3 Cd 0.0000 0.5000 0.0000
Pb1 Pb 0.0000 0.0000 0.5000
```

***

(5)
Density functional theory data (PBE) for a relaxed structure of Ac4Cd5Pb6.

* D(E_F): 7.43 states/eV per cell
* ΔH_f (0 K): -0.3588 eV/atom
* calculated total energy: -3.243 eV/atom

Geometry as CIF:
```
data_Ac4Cd5Pb6
_space_group_name_H-M_alt 'C m c 21'
_space_group_IT_number 36
_space_group_name_Hall 'C 2c -2'
_cell_length_a 5.0186
_cell_length_b 21.6252
_cell_length_c 17.8340
_cell_angle_alpha 90.00
_cell_angle_beta 90.00
_cell_angle_gamma 90.00
loop_
_atom_site_label
_atom_site_type_symbol
_atom_site_fract_x
_atom_site_fract_y
_atom_site_fract_z
Ac1 Ac 0.0000 0.0276 0.0000
Ac2 Ac 0.0000 0.0335 0.2668
Ac3 Ac 0.0000 0.1670 0.7980
Ac4 Ac 0.0000 0.1751 0.4485
Cd1 Cd 0.0000 0.1531 0.1301
Cd2 Cd 0.0000 0.3024 0.1240
Cd3 Cd 0.0000 0.3474 0.7807
Cd4 Cd 0.0000 0.3477 0.4925
Cd5 Cd 0.0000 0.4318 0.1929
Pb1 Pb 0.0000 0.1044 0.6157
Pb2 Pb 0.0000 0.2237 0.9823
Pb3 Pb 0.0000 0.2290 0.2700
Pb4 Pb 0.0000 0.4310 0.9207
Pb5 Pb 0.0000 0.4342 0.6343
Pb6 Pb 0.0000 0.4358 0.3601
```

***

(6)
Density functional theory data (PBE) for a relaxed structure of Ac3CdPb3.

* D(E_F): 21.81 states/eV per cell
* ΔE to the lowest computed polymorph: 0.0000 eV per atom
* ΔH_f (0 K): -0.4852 eV/atom
* calculated total energy: -3.966 eV/atom

Geometry as CIF:
```
data_Ac3CdPb3
_space_group_name_H-M_alt 'C 1 2/m 1'
_space_group_IT_number 12
_space_group_name_Hall '-C 2y'
_cell_length_a 12.6827
_cell_length_b 4.9880
_cell_length_c 16.3006
_cell_angle_alpha 90.00
_cell_angle_beta 108.21
_cell_angle_gamma 90.00
loop_
_atom_site_label
_atom_site_type_symbol
_atom_site_fract_x
_atom_site_fract_y
_atom_site_fract_z
Ac1 Ac 0.0244 0.0000 0.3809
Ac2 Ac 0.0974 0.0000 0.9205
Ac3 Ac 0.2381 0.0000 0.2270
Cd1 Cd 0.2277 0.5000 0.3877
Pb1 Pb 0.0172 0.5000 0.2301
Pb2 Pb 0.1277 0.5000 0.0753
Pb3 Pb 0.1412 0.5000 0.5476
```

***

Copy entry 5 word for word.
Density functional theory data (PBE) for a relaxed structure of Ac4Cd5Pb6.

* D(E_F): 7.43 states/eV per cell
* ΔH_f (0 K): -0.3588 eV/atom
* calculated total energy: -3.243 eV/atom

Geometry as CIF:
```
data_Ac4Cd5Pb6
_space_group_name_H-M_alt 'C m c 21'
_space_group_IT_number 36
_space_group_name_Hall 'C 2c -2'
_cell_length_a 5.0186
_cell_length_b 21.6252
_cell_length_c 17.8340
_cell_angle_alpha 90.00
_cell_angle_beta 90.00
_cell_angle_gamma 90.00
loop_
_atom_site_label
_atom_site_type_symbol
_atom_site_fract_x
_atom_site_fract_y
_atom_site_fract_z
Ac1 Ac 0.0000 0.0276 0.0000
Ac2 Ac 0.0000 0.0335 0.2668
Ac3 Ac 0.0000 0.1670 0.7980
Ac4 Ac 0.0000 0.1751 0.4485
Cd1 Cd 0.0000 0.1531 0.1301
Cd2 Cd 0.0000 0.3024 0.1240
Cd3 Cd 0.0000 0.3474 0.7807
Cd4 Cd 0.0000 0.3477 0.4925
Cd5 Cd 0.0000 0.4318 0.1929
Pb1 Pb 0.0000 0.1044 0.6157
Pb2 Pb 0.0000 0.2237 0.9823
Pb3 Pb 0.0000 0.2290 0.2700
Pb4 Pb 0.0000 0.4310 0.9207
Pb5 Pb 0.0000 0.4342 0.6343
Pb6 Pb 0.0000 0.4358 0.3601
```

***

The lowest ΔH_f (0 K) belongs to which entry?
number 6